# 1
4
Lattice="-1.1059 3.6228 2.1058 -4.1801 0.9243 0.6740 -1.6542 -0.2371 3.9987" Properties=species:S:1:pos:R:3 comment="TiVTcIr (PBE-GGA, relaxed)" final_energy_ev_per_atom=-9.636 mass_density_g_cm3=11.2 pbc="T T T"
Ir 0.0000 0.0000 0.0000
Tc -3.4701 2.1550 3.3892
V -1.7351 1.0775 1.6946
Ti -5.2052 3.2325 5.0839

=====

# 2
4
Lattice="3.6506 0.0000 0.0000 1.8253 3.1615 0.0000 1.8253 1.0538 8.4438" Properties=species:S:1:pos:R:3 comment="NaMnSb2 (PBE-GGA, relaxed)" final_energy_ev_per_atom=-4.793 relative_energy_mev_per_atom=0 raw_formation_energy_kcal_per_mol_atoms=-2.54 mass_density_g_cm3=5.5 pbc="T T T"
Na 3.6506 2.1077 4.2219
Sb 5.4759 3.1615 6.7539
Mn 0.0000 0.0000 0.0000
Sb 1.8253 1.0538 1.6899

=====

# 3
10
Lattice="-0.4386 -3.5226 -5.5293 3.3941 -4.8632 2.8291 -2.4885 -6.0789 0.1661" Properties=species:S:1:pos:R:3 comment="Pm2Ga6CoRu (PBE-GGA, relaxed)" final_energy_ev_per_atom=-4.800 mass_density_g_cm3=7.2 pbc="T T T"
Ga -0.2504 -12.4292 -1.8787
Ga 0.7174 -2.0356 -0.6554
Pm -0.7247 -6.8972 -3.3566
Pm 1.1917 -7.5675 0.8225
Co 0.0000 0.0000 0.0000
Ga -0.5630 -5.1633 -0.5700
Ga 2.4638 -4.5378 0.8002
Ru 1.4777 -4.1929 -1.3501
Ga 1.0300 -9.3014 -1.9642
Ga 0.4917 -3.8480 -3.5004

=====

# 4
8
Lattice="5.3714 0.0000 0.0000 0.0000 5.3714 0.0000 2.6857 2.6857 5.3287" Properties=species:S:1:pos:R:3 comment="RbSO2 (PBE-GGA, relaxed)" final_energy_ev_per_atom=-4.243 raw_formation_energy_kcal_per_mol_atoms=-11.31 mass_density_g_cm3=3.2 pbc="T T T"
S 2.6857 2.6857 0.0000
O 2.2742 4.0286 1.3322
O 6.7143 5.7829 3.9965
O 4.0286 4.9599 3.9965
S 2.6857 5.3714 2.6644
Rb 5.3714 2.6857 2.6644
O 3.0972 1.3429 1.3322
Rb 0.0000 0.0000 0.0000

=====

# 5
5
Lattice="-2.4411 -3.1005 -1.8536 3.3844 -1.1809 -2.4818 1.9653 -5.4861 1.4610" Properties=species:S:1:pos:R:3 comment="SrGa2Ir2 (PBE-GGA, relaxed)" final_energy_ev_per_atom=-5.646 mass_density_g_cm3=10.4 pbc="T T T"
Ir 2.9107 -4.4039 -1.5942
Sr 0.0000 0.0000 0.0000
Ga 0.8657 -3.0232 -1.2104
Ir -0.0021 -5.3637 -1.2801
Ga 2.0429 -6.7443 -1.6639

=====

# 6
3
Lattice="5.8906 -0.1009 0.0267 3.6446 4.6289 -0.0267 -4.4799 -2.8699 2.5308" Properties=species:S:1:pos:R:3 comment="ZrIn2 (PBE-GGA, relaxed)" final_energy_ev_per_atom=-4.735 mass_density_g_cm3=7.6 pbc="T T T"
Zr 0.0000 0.0000 0.0000
In 3.1779 1.5091 0.0000
In 6.3573 3.0189 0.0000